[1]
Below is crystalline LiPr2Gd at its relaxed geometry, with properties calculated at the PBE-GGA level.

E_tot ... -6.33 eV/atom
SG ... P4/mmm, No. 123
ΔH_f (0 K) ... 60 meV/atom
Total moment ... 7.570 μB per formula unit
ρ ... 5.90 g/cm3
E above lowest polymorph ... 0.0 kJ/mol of atoms
DOS(E_F) ... 5.89 states/eV/f.u.

Cell lengths 3.701, 3.701, 9.169 Å; angles 90.00, 90.00, 90.00 degrees
Each line ends with the local moment (μB).
Positions (direct):
Pr (0.000, 0.000, 0.772)  0.01
Pr (0.000, 0.000, 0.228)  0.01
Gd (0.500, 0.500, 0.500)  7.22
Li (0.500, 0.500, 0.000)  -0.01

***

[2]
Below is crystalline CaPAu at its relaxed geometry, with properties calculated at the PBE-GGA level.

E_tot ... -3.91 eV/atom
SG ... Fmm2, No. 42
ΔH_f (0 K) ... -346 meV/atom
Total moment ... 0.000 μB per formula unit
ρ ... 6.60 g/cm3
DOS(E_F) ... 1.86 states/eV/f.u.

Cell lengths 5.748, 5.414, 3.775 Å; angles 75.09, 65.53, 39.39 degrees
Positions (direct):
Au (0.033, 0.033, 0.967)
Ca (0.330, 0.330, 0.670)
P (0.637, 0.637, 0.363)

***

[3]
Below is crystalline YScOsPt at its relaxed geometry, with properties calculated at the PBE-GGA level.

E_tot ... -8.20 eV/atom
SG ... F-43m, No. 216
ΔH_f (0 K) ... -685 meV/atom
Total moment ... 0.000 μB per formula unit
ρ ... 11.42 g/cm3
DOS(E_F) ... 1.88 states/eV/f.u.

Cell lengths 4.744, 4.744, 4.744 Å; angles 60.00, 60.00, 60.00 degrees
Positions (direct):
Y (0.000, 0.000, 0.000)
Sc (0.500, 0.500, 0.500)
Os (0.250, 0.250, 0.250)
Pt (0.750, 0.750, 0.750)

***

[4]
Below is crystalline HfPaMoPt at its relaxed geometry, with properties calculated at the PBE-GGA level.

E_tot ... -9.49 eV/atom
SG ... F-43m, No. 216
ΔH_f (0 K) ... -408 meV/atom
Total moment ... 0.000 μB per formula unit
ρ ... 14.73 g/cm3
DOS(E_F) ... 3.70 states/eV/f.u.

Cell lengths 4.815, 4.815, 4.815 Å; angles 60.00, 60.00, 60.00 degrees
Positions (direct):
Mo (0.750, 0.750, 0.750)
Pa (0.000, 0.000, 0.000)
Hf (0.500, 0.500, 0.500)
Pt (0.250, 0.250, 0.250)

***

[5]
Below is crystalline K3La2SnSe6 at its relaxed geometry, with properties calculated at the PBE-GGA level.

E_tot ... -4.61 eV/atom
SG ... C2/m, No. 12
Total moment ... 0.000 μB per formula unit
ρ ... 4.28 g/cm3
DOS(E_F) ... 5.92 states/eV/f.u.

Cell lengths 7.587, 7.587, 8.096 Å; angles 98.98, 98.98, 120.01 degrees
Positions (direct):
K (0.166, 0.834, 0.500)
K (0.834, 0.166, 0.500)
K (0.500, 0.500, 0.500)
La (0.333, 0.667, 0.000)
La (0.667, 0.333, 0.000)
Sn (0.000, 0.000, 0.000)
Se (0.930, 0.606, 0.790)
Se (0.746, 0.746, 0.209)
Se (0.070, 0.394, 0.210)
Se (0.606, 0.930, 0.790)
Se (0.254, 0.254, 0.791)
Se (0.394, 0.070, 0.210)

***

[6]
Below is crystalline SrHoInI6 at its relaxed geometry, with properties calculated at the PBE-GGA level.

E_tot ... -3.31 eV/atom
SG ... P-31c, No. 163
Total moment ... 0.000 μB per formula unit
ρ ... 4.34 g/cm3
DOS(E_F) ... 0.00 states/eV/f.u.

Cell lengths 8.153, 8.153, 15.023 Å; angles 90.00, 90.00, 120.00 degrees
Positions (direct):
Sr (0.333, 0.667, 0.250)
Sr (0.667, 0.333, 0.750)
Ho (0.667, 0.333, 0.250)
Ho (0.333, 0.667, 0.750)
In (0.000, 0.000, 0.000)
In (0.000, 0.000, 0.500)
I (0.653, 0.628, 0.131)
I (0.975, 0.347, 0.131)
I (0.347, 0.975, 0.631)
I (0.025, 0.653, 0.869)
I (0.372, 0.347, 0.369)
I (0.975, 0.628, 0.369)
I (0.628, 0.975, 0.869)
I (0.653, 0.025, 0.369)
I (0.025, 0.372, 0.631)
I (0.372, 0.025, 0.131)
I (0.628, 0.653, 0.631)
I (0.347, 0.372, 0.869)

***

[7]
Below is crystalline CeSmTcI at its relaxed geometry, with properties calculated at the PBE-GGA level.

E_tot ... -6.11 eV/atom
SG ... Cm, No. 8
Total moment ... 0.000 μB per formula unit
ρ ... 7.31 g/cm3
DOS(E_F) ... 2.96 states/eV/f.u.

Cell lengths 3.985, 4.163, 8.333 Å; angles 89.24, 103.84, 118.59 degrees
Positions (direct):
Ce (0.108, 0.989, 0.038)
Sm (0.496, 0.136, 0.667)
Tc (0.297, 0.506, 0.898)
I (0.977, 0.399, 0.366)

***

[8]
Below is crystalline PrNd8Er6 at its relaxed geometry, with properties calculated at the PBE-GGA level.

E_tot ... -4.56 eV/atom
SG ... R-3, No. 148
ΔH_f (0 K) ... 130 meV/atom
Total moment ... 0.000 μB per formula unit
ρ ... 7.55 g/cm3
DOS(E_F) ... 22.70 states/eV/f.u.

Cell lengths 9.120, 9.120, 8.771 Å; angles 58.67, 58.67, 60.00 degrees
Positions (direct):
Pr (0.000, 0.000, 0.000)
Nd (0.886, 0.285, 0.582)
Nd (0.753, 0.114, 0.418)
Nd (0.715, 0.753, 0.418)
Nd (0.422, 0.422, 0.734)
Nd (0.578, 0.578, 0.266)
Nd (0.285, 0.247, 0.582)
Nd (0.247, 0.886, 0.582)
Nd (0.114, 0.715, 0.418)
Er (0.095, 0.535, 0.117)
Er (0.748, 0.905, 0.883)
Er (0.465, 0.748, 0.883)
Er (0.535, 0.252, 0.117)
Er (0.252, 0.095, 0.117)
Er (0.905, 0.465, 0.883)